La2AgS4 (PBE, optimized geometry); calculated total energy = -79.5 eV/cell; offset from the most stable computed form = 0.0 meV per atom
1.0
7.086 0.000 0.057
0.000 5.742 0.000
-2.542 0.000 7.975
S La Ag
8 4 2
direct
0.940 0.250 0.607
0.945 0.250 0.115
0.467 0.522 0.740
0.055 0.750 0.885
0.533 0.478 0.260
0.533 0.022 0.260
0.060 0.750 0.393
0.467 0.978 0.740
0.230 0.250 0.437
0.770 0.750 0.563
0.762 0.750 0.070
0.238 0.250 0.930
0.248 0.750 0.184
0.752 0.250 0.816

LaAgS2 (PBE, optimized geometry); calculated total energy = -21.5 eV/cell
1.0
-4.131 0.342 6.723
-0.408 2.586 7.452
-3.748 4.497 5.303
S La Ag
2 1 1
direct
0.895 0.895 0.895
0.105 0.105 0.105
0.500 0.500 0.500
0.000 0.000 0.000

LaAgS2 (PBE, optimized geometry); calculated total energy = -20.8 eV/cell
1.0
-3.398 -2.831 -1.558
3.844 -1.818 1.976
-2.565 0.221 5.194
S Ag La
2 1 1
direct
0.667 0.333 0.336
0.333 0.667 0.870
0.000 0.000 0.872
0.333 0.667 0.377

LaAgS2 (PBE, optimized geometry); calculated total energy = -170.2 eV/cell
1.0
-13.143 9.701 1.943
-6.687 -3.651 -0.070
1.980 -3.956 6.204
S Ag La
16 8 8
direct
0.250 0.373 0.873
0.250 0.837 0.337
0.734 0.186 0.113
0.750 0.163 0.663
0.266 0.814 0.887
0.766 0.613 0.686
0.517 0.627 0.313
0.980 0.790 0.585
0.234 0.387 0.314
0.520 0.085 0.290
0.983 0.813 0.127
0.750 0.627 0.127
0.017 0.187 0.873
0.480 0.915 0.710
0.020 0.210 0.415
0.483 0.373 0.687
0.427 0.212 0.884
0.617 0.266 0.264
0.383 0.734 0.736
0.073 0.384 0.712
0.117 0.236 0.234
0.927 0.616 0.288
0.883 0.764 0.766
0.573 0.788 0.116
0.884 0.247 0.028
0.839 0.312 0.481
0.161 0.688 0.519
0.339 0.019 0.188
0.616 0.528 0.747
0.661 0.981 0.812
0.384 0.472 0.253
0.116 0.753 0.972